Computed, not measured: a geometry-optimized HoMgPdRu structure at the PBE level of DFT.

Cell: 4.665 4.665 4.665 Å, 60.00 60.00 60.00°
Atoms (fractional coordinates):
1 Ho 0.000 0.000 0.000
2 Mg 0.500 0.500 0.500
3 Pd 0.750 0.750 0.750
4 Ru 0.250 0.250 0.250

Calculated values
The calculation puts the energy of formation at -467 meV/atom. As for the space-group type: F-43m.